No. 1
Computed, not measured: crystalline SrTa3Se at its relaxed geometry at the GGA-PBE level of DFT.

The structure in CIF format:
```
data_SrTa3Se
_chemical_formula_sum 'Sr1 Ta3 Se1'
_cell_length_a 4.9033
_cell_length_b 4.9033
_cell_length_c 4.9033
_cell_angle_alpha 90.00
_cell_angle_beta 90.00
_cell_angle_gamma 90.00
_space_group_name_H-M_alt 'P m -3 m'
_space_group_IT_number 221
_space_group_name_Hall '-P 4 2 3'
loop_
_atom_site_label
_atom_site_type_symbol
_atom_site_fract_x
_atom_site_fract_y
_atom_site_fract_z
Sr1 Sr 0.0000 0.0000 0.0000
Ta1 Ta 0.0000 0.5000 0.5000
Se1 Se 0.5000 0.5000 0.5000
```

Properties
* N(E_F): 10.3 states/eV/f.u.
* energy relative to the elements, uncorrected: 872 meV per atom
* offset from the most stable computed form: 0.0 meV per atom

***

No. 2
Computed, not measured: crystalline SrTaSe at its relaxed geometry at the GGA-PBE level of DFT.

The structure in CIF format:
```
data_SrTaSe
_chemical_formula_sum 'Sr4 Ta4 Se4'
_cell_length_a 7.3476
_cell_length_b 7.3476
_cell_length_c 7.3476
_cell_angle_alpha 90.00
_cell_angle_beta 90.00
_cell_angle_gamma 90.00
_space_group_name_H-M_alt 'F -4 3 m'
_space_group_IT_number 216
_space_group_name_Hall 'F -4 2 3'
loop_
_atom_site_label
_atom_site_type_symbol
_atom_site_fract_x
_atom_site_fract_y
_atom_site_fract_z
Sr1 Sr 0.0000 0.0000 0.0000
Ta1 Ta 0.2500 0.2500 0.2500
Se1 Se 0.2500 0.2500 0.7500
```

Properties
* N(E_F): 2.9 states/eV/f.u.
* energy relative to the elements, uncorrected: 1155 meV per atom
* offset from the most stable computed form: 1347.4 meV per atom

***

No. 3
Computed, not measured: crystalline Sr2TaSe at its relaxed geometry at the GGA-PBE level of DFT.

The structure in CIF format:
```
data_Sr2TaSe
_chemical_formula_sum 'Sr2 Ta1 Se1'
_cell_length_a 3.5654
_cell_length_b 3.5654
_cell_length_c 9.2946
_cell_angle_alpha 90.00
_cell_angle_beta 90.00
_cell_angle_gamma 90.00
_space_group_name_H-M_alt 'P 4 m m'
_space_group_IT_number 99
loop_
_space_group_symop_operation_xyz
'x,y,z'
'-y,x,z'
'-x,-y,z'
'y,-x,z'
'-x,y,z'
'y,x,z'
'x,-y,z'
'-y,-x,z'
loop_
_atom_site_label
_atom_site_type_symbol
_atom_site_fract_x
_atom_site_fract_y
_atom_site_fract_z
Sr1 Sr 0.0000 0.0000 0.0000
Sr2 Sr 0.5000 0.5000 0.3888
Ta1 Ta 0.0000 0.0000 0.6446
Se1 Se 0.5000 0.5000 0.7564
```

Properties
* N(E_F): 4.6 states/eV/f.u.
* energy relative to the elements, uncorrected: -59 meV per atom
* offset from the most stable computed form: 0.0 meV per atom

***

No. 4
Computed, not measured: crystalline Sr2TaTcSe at its relaxed geometry at the GGA-PBE level of DFT.

The structure in CIF format:
```
data_Sr2TaTcSe
_chemical_formula_sum 'Sr2 Ta1 Tc1 Se1'
_cell_length_a 6.1189
_cell_length_b 6.1189
_cell_length_c 4.5490
_cell_angle_alpha 90.00
_cell_angle_beta 90.00
_cell_angle_gamma 90.00
_space_group_name_H-M_alt 'P 4/m m m'
_space_group_IT_number 123
_space_group_name_Hall '-P 4 2'
loop_
_atom_site_label
_atom_site_type_symbol
_atom_site_fract_x
_atom_site_fract_y
_atom_site_fract_z
Sr1 Sr 0.0000 0.5000 0.0000
Ta1 Ta 0.0000 0.0000 0.0000
Tc1 Tc 0.0000 0.0000 0.5000
Se1 Se 0.5000 0.5000 0.5000
```

Properties
* N(E_F): 4.7 states/eV/f.u.
* energy relative to the elements, uncorrected: 704 meV per atom